(1)
{"formula": "BaAgAs2", "functional": "PBE", "state": "optimized geometry", "cell": [[3.8823, 0.0000, 0.0000], [0.0000, 3.9726, 0.0000], [0.0000, 0.0000, 6.7147]], "species": ["As", "As", "Ba", "Ag"], "fractional_positions": [[0.0000, 0.0000, 0.9333], [0.0000, 0.0000, 0.5667], [0.5000, 0.5000, 0.2500], [0.5000, 0.5000, 0.7500]], "crystal_system": "orthorhombic"}

---

(2)
{"formula": "Ba3Ag2As3", "functional": "PBE", "state": "optimized geometry", "cell": [[4.6680, 0.0000, 0.0000], [-2.3340, 6.2724, 0.0000], [0.0000, 0.0000, 16.0774]], "species": ["As", "As", "As", "As", "As", "As", "Ag", "Ag", "Ag", "Ag", "Ba", "Ba", "Ba", "Ba", "Ba", "Ba"], "fractional_positions": [[0.6320, 0.2639, 0.0451], [0.3360, 0.6720, 0.2500], [0.3680, 0.7361, 0.5451], [0.6320, 0.2639, 0.4549], [0.6640, 0.3280, 0.7500], [0.3680, 0.7361, 0.9549], [0.2213, 0.4426, 0.0927], [0.7787, 0.5574, 0.5927], [0.2213, 0.4426, 0.4073], [0.7787, 0.5574, 0.9073], [0.9198, 0.8395, 0.3975], [0.3516, 0.7032, 0.7500], [0.0802, 0.1605, 0.8975], [0.6484, 0.2968, 0.2500], [0.0802, 0.1605, 0.6025], [0.9198, 0.8395, 0.1025]], "crystal_system": "orthorhombic"}

---

(3)
{"formula": "BaAgAs2", "functional": "PBE", "state": "optimized geometry", "cell": [[-1.1825, -5.3670, 2.4803], [4.4577, -1.8429, 3.6177], [-4.0310, 4.4098, -0.8119]], "species": ["As", "As", "Ag", "Ba"], "fractional_positions": [[0.8020, 0.3020, 0.5000], [0.9809, 0.9809, 0.0000], [0.2076, 0.7076, 0.5000], [0.5094, 0.5094, 0.0000]], "crystal_system": "orthorhombic"}

---

| no. | total DFT energy (no corrections) (eV/atom) | M_tot (μB per formula unit) | ΔH_f (0 K) (meV/atom) |
| --- | --- | --- | --- |
| 1 | -3.7318 | 0.00 | -213.5 |
| 2 | -3.9262 | 0.00 | -748.8 |
| 3 | -3.7799 | 0.00 | -261.6 |